Computed, not measured: Hf6Ga10Fe after structural relaxation at the PBE level of DFT.

Lattice parameters (Å, degrees): 5.4515 8.0337 8.0337 120.00 90.00 90.00
Last column: magnetic moment on the atom in μB.
Atoms (fractional coordinates):
Ga: 0.2107 0.0000 0.7663  -0.01
Ga: 0.5000 0.3333 0.6667  0.00
Ga: 0.7893 0.7663 0.7663  -0.01
Ga: 0.7893 0.0000 0.2337  -0.01
Ga: 0.2107 0.7663 0.0000  -0.01
Hf: 0.7353 0.6078 0.0000  -0.01
Ga: 0.2107 0.2337 0.2337  -0.01
Ga: 0.0000 0.3333 0.6667  0.01
Hf: 0.7353 0.0000 0.6078  -0.01
Ga: 0.7893 0.2337 0.0000  -0.01
Fe: 0.5000 0.0000 0.0000  0.99
Hf: 0.2647 0.0000 0.3922  -0.01
Ga: 0.5000 0.6667 0.3333  0.00
Ga: 0.0000 0.6667 0.3333  0.01
Hf: 0.2647 0.6078 0.6078  -0.01
Hf: 0.2647 0.3922 0.0000  -0.01
Hf: 0.7353 0.3922 0.3922  -0.01

Computed properties:
As for the space group: P-31m. Its magnetization is 0.824 μB per formula unit. The value obtained for the formation energy is -0.270 eV per atom.

Computed, not measured: CsSi3Se after structural relaxation at the PBE level of DFT.

Lattice parameters (Å, degrees): 5.2761 5.2761 5.2761 90.00 90.00 90.00
Atoms (fractional coordinates):
Si: 0.0000 0.0000 0.5000
Se: 0.0000 0.0000 0.0000
Si: 0.5000 0.0000 0.0000
Cs: 0.5000 0.5000 0.5000
Si: 0.0000 0.5000 0.0000

Computed properties:
As for the space group: Pm-3m. Its magnetization is 0.000 μB per formula unit. The calculation puts the energy above the most stable polymorph in this dataset at 0.000 eV/atom. The formation energy (no corrections) comes out at 0.88 eV per atom.

Computed, not measured: Rb2Nb2Te5 after structural relaxation at the PBE level of DFT.

Lattice parameters (Å, degrees): 5.2784 8.7206 9.0900 100.07 90.00 107.62
Atoms (fractional coordinates):
Te: 0.3148 0.6297 0.0070
Te: 0.8854 0.7709 0.3856
Nb: 0.1423 0.2846 0.9032
Te: 0.6852 0.3703 0.9930
Rb: 0.4411 0.8822 0.6984
Te: 0.0000 0.0000 0.0000
Nb: 0.8577 0.7154 0.0968
Te: 0.1146 0.2291 0.6144
Rb: 0.5589 0.1178 0.3016

Computed properties:
As for the space group: C2/m. Its magnetization is 0.000 μB per formula unit. The formation energy (no corrections) comes out at -0.48 eV per atom.

Among the records above, which one has the highest magnetization?
Hf6Ga10Fe

Please write out number 3 again, unchanged.
Computed, not measured: Rb2Nb2Te5 after structural relaxation at the PBE level of DFT.

Lattice parameters (Å, degrees): 5.2784 8.7206 9.0900 100.07 90.00 107.62
Atoms (fractional coordinates):
Te: 0.3148 0.6297 0.0070
Te: 0.8854 0.7709 0.3856
Nb: 0.1423 0.2846 0.9032
Te: 0.6852 0.3703 0.9930
Rb: 0.4411 0.8822 0.6984
Te: 0.0000 0.0000 0.0000
Nb: 0.8577 0.7154 0.0968
Te: 0.1146 0.2291 0.6144
Rb: 0.5589 0.1178 0.3016

Computed properties:
As for the space group: C2/m. Its magnetization is 0.000 μB per formula unit. The formation energy (no corrections) comes out at -0.48 eV per atom.

Among the records above, which one has the highest magnetization?
Hf6Ga10Fe